(1)
A geometry-optimized CeZn3P3 structure. Source: Alexandria via LeMat-Bulk, functional GGA-PBE.

ΔE to the lowest computed polymorph = 0.0137 eV/atom
SG = No. 148
calculated formation energy = -0.565 eV per atom
calculated volume = 20.43 Å³ per atom

Lattice parameters (Å, degrees): 6.987 6.987 7.876 63.67 63.67 60.00
Each line ends with the local moment (μB).
Element x y z (fractional)
Ce  0.334  0.334  0.999  0.87
Ce  0.666  0.666  0.001  0.87
Zn  0.450  0.790  0.637  0.00
Zn  0.790  0.123  0.637  0.00
Zn  0.123  0.450  0.637  0.00
Zn  0.877  0.550  0.363  0.00
Zn  0.210  0.877  0.363  0.00
Zn  0.550  0.210  0.363  0.00
P  0.248  0.577  0.260  -0.01
P  0.915  0.248  0.260  -0.01
P  0.577  0.915  0.260  -0.01
P  0.423  0.085  0.740  -0.01
P  0.085  0.752  0.740  -0.01
P  0.752  0.423  0.740  -0.01

=====

(2)
A geometry-optimized SrLaIn2Ni structure. Source: Alexandria via LeMat-Bulk, functional GGA-PBE.

SG = No. 123
calculated formation energy = -0.291 eV per atom
calculated volume = 28.52 Å³ per atom

Lattice parameters (Å, degrees): 5.309 5.309 5.061 90.00 90.00 90.00
Element x y z (fractional)
Sr  0.500  0.500  0.500
In  0.000  0.500  0.000
In  0.500  0.000  0.000
Ni  0.000  0.000  0.000
La  0.000  0.000  0.500

=====

(3)
A geometry-optimized Cu4RuRh2 structure. Source: Alexandria via LeMat-Bulk, functional GGA-PBE.

SG = No. 139
calculated formation energy = 1.152 eV per atom
calculated volume = 17.78 Å³ per atom

Lattice parameters (Å, degrees): 4.484 4.484 6.956 71.20 71.20 90.00
Each line ends with the local moment (μB).
Element x y z (fractional)
Ru  0.000  0.000  0.000  1.46
Rh  0.609  0.609  0.782  0.56
Rh  0.391  0.391  0.218  0.56
Cu  0.805  0.805  0.391  0.15
Cu  0.195  0.195  0.609  0.15
Cu  0.000  0.500  0.000  0.22
Cu  0.500  0.000  0.000  0.22

=====

(4)
A geometry-optimized KAg2SBr structure. Source: Alexandria via LeMat-Bulk, functional GGA-PBE.

ΔE to the lowest computed polymorph = 1.4590 eV/atom
SG = No. 123
calculated volume = 37.46 Å³ per atom
formation energy (no corrections) = 0.85 eV per atom

Lattice parameters (Å, degrees): 6.004 5.196 6.004 90.00 90.00 90.00
Element x y z (fractional)
S  0.000  0.500  0.000
K  0.000  0.000  0.000
Br  0.500  0.500  0.500
Ag  0.000  0.000  0.500
Ag  0.500  0.000  0.000

=====

(5)
A geometry-optimized BeIn2Os structure. Source: Alexandria via LeMat-Bulk, functional GGA-PBE.

SG = No. 8
calculated formation energy = 0.344 eV per atom
calculated volume = 17.31 Å³ per atom

Lattice parameters (Å, degrees): 5.337 5.337 4.683 70.67 70.67 33.58
Element x y z (fractional)
Be  0.202  0.202  0.267
Os  0.535  0.535  0.506
In  0.988  0.988  0.038
In  0.775  0.775  0.689

=====

(6)
A geometry-optimized BeV2HAu structure. Source: Alexandria via LeMat-Bulk, functional GGA-PBE.

SG = No. 123
calculated volume = 11.05 Å³ per atom
VASP energy = -28.893 eV per formula unit

Lattice parameters (Å, degrees): 3.615 3.615 4.228 90.00 90.00 90.00
Element x y z (fractional)
Be  0.000  0.000  0.500
Au  0.500  0.500  0.500
H  0.000  0.000  0.000
V  0.000  0.500  0.000
V  0.500  0.000  0.000

=====

(7)
A geometry-optimized LiHf3Sb structure. Source: Alexandria via LeMat-Bulk, functional GGA-PBE.

ΔE to the lowest computed polymorph = 0.0000 eV/atom
SG = No. 221
calculated volume = 20.79 Å³ per atom
formation energy (no corrections) = 0.44 eV per atom

Lattice parameters (Å, degrees): 4.702 4.702 4.702 90.00 90.00 90.00
Element x y z (fractional)
Sb  0.500  0.500  0.500
Hf  0.000  0.500  0.000
Hf  0.000  0.000  0.500
Hf  0.500  0.000  0.000
Li  0.000  0.000  0.000

=====

(8)
A geometry-optimized Nd5PbSe4 structure. Source: Alexandria via LeMat-Bulk, functional GGA-PBE.

SG = No. 87
calculated volume = 28.28 Å³ per atom
formation energy (no corrections) = -1.59 eV per atom

Lattice parameters (Å, degrees): 6.090 7.464 7.464 80.42 65.92 65.92
Element x y z (fractional)
Nd  0.900  0.410  0.792
Nd  0.310  0.792  0.590
Nd  0.692  0.208  0.410
Nd  0.102  0.590  0.208
Nd  0.501  0.000  0.000
Pb  0.001  0.000  0.000
Se  0.397  0.403  0.806
Se  0.800  0.806  0.597
Se  0.202  0.194  0.403
Se  0.605  0.597  0.194

=====

Look up the calculated volume of the first one. 20.43 Å³ per atom